A plane-wave DFT calculation with PBE was carried out for a relaxed NbTlCoNi2 crystal.

It has space group P4/mmm (No. 123), with a = 4.662 Å, b = 4.662 Å, c = 4.474 Å, α = 90.00°, β = 90.00° and γ = 90.00°. The inequivalent atoms are Nb at (0.000, 0.000, 0.000), Tl at (0.500, 0.500, 0.500), Co at (0.000, 0.000, 0.500) and Ni at (0.000, 0.500, 0.000).

Its magnetization is 0.27 Bohr magnetons per cell. The energy of formation comes out at 1.167 eV/atom.